1.
! Pr3IBr7 | Alexandria | GGA-PBE | optimized geometry; values from VASP
&SYSTEM
  ibrav = 0, nat = 11, ntyp = 3
/
ATOMIC_SPECIES
Pr 140.91 Pr.upf
I 126.90 I.upf
Br 79.90 Br.upf
ATOMIC_POSITIONS angstrom
Pr -2.1625 -4.1538 -5.4278
Pr 0.9464 -1.5784 -6.9285
Pr 1.3493 -5.8543 -7.2514
I -3.4780 -4.4987 -2.5025
Br -3.9704 -4.8695 1.7915
Br -0.9773 -2.3899 0.3466
Br 2.5285 -3.9990 -1.6249
Br 2.9020 -3.6223 -6.1464
Br -0.4742 -1.9875 -4.3931
Br -0.0869 -6.0983 -4.7036
Br -0.5893 -6.5066 0.0356
CELL_PARAMETERS angstrom
-3.2763 0.1805 -6.4772
7.0587 -3.4180 -3.6657
-6.2489 -5.1767 3.0165
! M_tot: 0.0 μB per cell
! E_form (uncorrected): -167 kJ/mol of atoms

---

2.
! Tb4GaSb | Alexandria | GGA-PBE | optimized geometry; values from VASP
&SYSTEM
  ibrav = 0, nat = 12, ntyp = 3
/
ATOMIC_SPECIES
Tb 158.93 Tb.upf
Ga 69.72 Ga.upf
Sb 121.76 Sb.upf
ATOMIC_POSITIONS angstrom
Tb -5.4376 -3.5021 1.9493
Tb 1.1580 -4.5755 -1.5405
Tb 3.9900 -6.0006 0.8827
Tb -2.6056 -4.9272 4.3726
Tb -0.0271 -8.2474 1.0236
Tb 1.2182 -4.2455 1.8989
Tb -1.4205 -1.2553 1.8084
Tb -2.6658 -5.2572 0.9332
Ga -3.4590 -2.5426 0.1608
Ga -0.5154 -3.0645 3.9304
Sb 3.7396 -6.2534 -2.4996
Sb 1.3141 -1.5380 -0.0186
CELL_PARAMETERS angstrom
-0.4168 -3.3738 -5.0287
5.4704 -4.4176 2.5104
-6.5013 -1.7114 5.3503
! M_tot: 0.0 μB per cell
! E_form (uncorrected): -36 kJ/mol of atoms

---

3.
! AgSn2Ge | Alexandria | GGA-PBE | optimized geometry; values from VASP
&SYSTEM
  ibrav = 0, nat = 4, ntyp = 3
/
ATOMIC_SPECIES
Ag 107.87 Ag.upf
Sn 118.71 Sn.upf
Ge 72.64 Ge.upf
ATOMIC_POSITIONS angstrom
Ag -0.0633 -3.9930 -4.2402
Sn -0.4329 -5.2237 -1.6097
Sn -0.0229 -1.9263 -2.1312
Ge 0.3190 -0.9177 -4.7267
CELL_PARAMETERS angstrom
-1.8172 -0.3662 -3.7437
2.3190 -0.8223 -3.3760
-0.6353 -6.8519 -1.3521
! M_tot: 0.0 μB per cell
! Total DFT energy (no corrections): -3.72 eV per atom

---

Density (computed, Mg/m³): 3.907, 7.774, 6.973
DOS(E_F) (computed, states/eV/f.u.): 6.2, 6.5, 1.1